Entry 1:
This record from the Alexandria database describes a PBEsol-optimized structure of AlBTe2. The functional is SCAN.

```
AlBTe2
1.0
-3.4480 3.4480 3.9586
3.4480 -3.4480 3.9586
3.4480 3.4480 -3.9586
Al B Te
2 2 4
Direct
0.0000 0.0000 0.0000
0.7500 0.2500 0.5000
0.2500 0.7500 0.5000
0.5000 0.5000 0.0000
0.2100 0.1250 0.5850
0.3750 0.7900 0.9150
0.5400 0.6250 0.4150
0.8750 0.4600 0.0850
```

Distance to the lowest polymorph of the same formula: 0.000 eV/atom

=====

Entry 2:
This record from the Alexandria database describes a PBEsol-optimized structure of BiRu3C. The functional is SCAN.

```
BiRu3C
1.0
4.9238 0.0000 0.0000
0.0000 4.9238 0.0000
0.0000 0.0000 4.9238
Bi Ru C
1 3 1
Direct
0.0000 0.0000 0.0000
0.0000 0.0000 0.5000
0.0000 0.5000 0.0000
0.5000 0.0000 0.0000
0.5000 0.5000 0.5000
```

E: -35.18 eV/atom

=====

Entry 3:
This record from the Alexandria database describes a PBEsol-optimized structure of K2TiZnO4. The functional is SCAN.

```
K2TiZnO4
1.0
11.2591 0.0000 0.0000
0.0000 5.6132 0.0000
0.0000 0.0000 15.9424
K Ti Zn O
16 8 8 32
Direct
0.0112 0.0137 0.0000
0.0139 0.5077 0.6183
0.2309 0.0421 0.3745
0.2336 0.5406 0.2405
0.2664 0.5406 0.7405
0.2691 0.0421 0.8745
0.4861 0.5077 0.1183
0.4888 0.0137 0.5000
0.5112 0.9863 0.0000
0.5139 0.4923 0.6183
0.7309 0.9579 0.3745
0.7336 0.4594 0.2405
0.7664 0.4594 0.7405
0.7691 0.9579 0.8745
0.9861 0.4923 0.1183
0.9888 0.9863 0.5000
0.0110 0.5196 0.8687
0.2345 0.0241 0.1245
0.2655 0.0241 0.6245
0.4890 0.5196 0.3687
0.5110 0.4804 0.8687
0.7345 0.9759 0.1245
0.7655 0.9759 0.6245
0.9890 0.4804 0.3687
0.0108 0.0167 0.7491
0.2360 0.5264 0.4927
0.2640 0.5264 0.9927
0.4892 0.0167 0.2491
0.5108 0.9833 0.7491
0.7360 0.4736 0.4927
0.7640 0.4736 0.9927
0.9892 0.9833 0.2491
0.0167 0.7961 0.3507
0.0257 0.3170 0.2732
0.0850 0.3853 0.4545
0.0969 0.8848 0.1590
0.1658 0.5855 0.8951
0.1735 0.0870 0.7159
0.1926 0.8161 0.5535
0.1940 0.2991 0.0709
0.3060 0.2991 0.5709
0.3074 0.8161 0.0535
0.3265 0.0870 0.2159
0.3342 0.5855 0.3951
0.4031 0.8848 0.6590
0.4150 0.3853 0.9545
0.4743 0.3170 0.7732
0.4833 0.7961 0.8507
0.5167 0.2039 0.3507
0.5257 0.6830 0.2732
0.5850 0.6147 0.4545
0.5969 0.1152 0.1590
0.6658 0.4145 0.8951
0.6735 0.9130 0.7159
0.6926 0.1839 0.5535
0.6940 0.7009 0.0709
0.8060 0.7009 0.5709
0.8074 0.1839 0.0535
0.8265 0.9130 0.2159
0.8342 0.4145 0.3951
0.9031 0.1152 0.6590
0.9150 0.6147 0.9545
0.9743 0.6830 0.7732
0.9833 0.2039 0.8507
```

E: -11.29 eV/atom

=====

Entry 4:
This record from the Alexandria database describes a PBEsol-optimized structure of SbTe. The functional is SCAN.

```
SbTe
1.0
4.2904 0.0000 0.0000
-2.1452 3.7156 0.0000
0.0000 0.0000 23.4530
Sb Te
6 6
Direct
0.0000 0.0000 0.1274
0.0000 0.0000 0.8726
0.3333 0.6667 0.4668
0.3333 0.6667 0.7069
0.6667 0.3333 0.2931
0.6667 0.3333 0.5332
0.0000 0.0000 0.3660
0.0000 0.0000 0.6340
0.3333 0.6667 0.2104
0.3333 0.6667 0.9450
0.6667 0.3333 0.0550
0.6667 0.3333 0.7896
```

Distance to the lowest polymorph of the same formula: 0.000 eV/atom

=====

Entry 5:
This record from the Alexandria database describes a PBEsol-optimized structure of CoCu2Pt. The functional is SCAN.

```
CoCu2Pt
1.0
4.2682 -1.3052 0.0000
4.2682 1.3052 0.0000
-0.8133 0.0000 4.3565
Co Cu Pt
1 2 1
Direct
0.0000 0.0000 0.0000
0.2535 0.2535 0.7605
0.7465 0.7465 0.2395
0.5000 0.5000 0.5000
```

E: -29.54 eV/atom

=====

Entry 6:
This record from the Alexandria database describes a PBEsol-optimized structure of TaMnRu2. The functional is SCAN.

```
TaMnRu2
1.0
-1.5745 2.0965 4.2904
1.5745 -2.0965 4.2904
1.5745 2.0965 -4.2904
Ta Mn Ru
1 1 2
Direct
0.0000 0.0000 0.0000
0.2486 0.7486 0.5000
0.4897 0.4897 0.0000
0.7519 0.2519 0.5000
```

Distance to the lowest polymorph of the same formula: 0.251 eV/atom

=====

Entry 7:
This record from the Alexandria database describes a PBEsol-optimized structure of CsLiHf2. The functional is SCAN.

```
CsLiHf2
1.0
0.0000 3.5531 3.5531
3.5531 0.0000 3.5531
3.5531 3.5531 0.0000
Cs Li Hf
1 1 2
Direct
0.0000 0.0000 0.0000
0.5000 0.5000 0.5000
0.2500 0.2500 0.2500
0.7500 0.7500 0.7500
```

E: -39.93 eV/atom

=====

Entry 8:
This record from the Alexandria database describes a PBEsol-optimized structure of SrCdSi. The functional is SCAN.

```
SrCdSi
1.0
4.4378 0.0000 0.0000
-2.2189 3.8432 0.0000
0.0000 0.0000 4.5971
Sr Cd Si
1 1 1
Direct
0.0000 0.0000 0.0000
0.3333 0.6667 0.5000
0.6667 0.3333 0.5000
```

E: -21.29 eV/atom

=====

Entry 9:
This record from the Alexandria database describes a PBEsol-optimized structure of MnZn2Au. The functional is SCAN.

```
MnZn2Au
1.0
0.0000 3.0653 3.0653
3.0653 0.0000 3.0653
3.0653 3.0653 0.0000
Mn Zn Au
1 2 1
Direct
0.0000 0.0000 0.0000
0.2500 0.2500 0.2500
0.5000 0.5000 0.5000
0.7500 0.7500 0.7500
```

E: -28.89 eV/atom

=====

Entry 10:
This record from the Alexandria database describes a PBEsol-optimized structure of Ce3Si2Ni6. The functional is SCAN.

```
Ce3Si2Ni6
1.0
-4.3249 4.3249 4.3249
4.3249 -4.3249 4.3249
4.3249 4.3249 -4.3249
Ce Si Ni
6 4 12
Direct
0.0000 0.2760 0.2760
0.0000 0.7240 0.7240
0.2760 0.0000 0.2760
0.2760 0.2760 0.0000
0.7240 0.0000 0.7240
0.7240 0.7240 0.0000
0.0000 0.0000 0.5000
0.0000 0.5000 0.0000
0.5000 0.0000 0.0000
0.5000 0.5000 0.5000
0.0000 0.3405 0.6595
0.0000 0.6595 0.3405
0.3191 0.6595 0.6595
0.3405 0.0000 0.6595
0.3405 0.3405 0.6809
0.3405 0.6595 0.0000
0.3405 0.6809 0.3405
0.6595 0.0000 0.3405
0.6595 0.3191 0.6595
0.6595 0.3405 0.0000
0.6595 0.6595 0.3191
0.6809 0.3405 0.3405
```

E: -23.35 eV/atom

=====

Entry 11:
This record from the Alexandria database describes a PBEsol-optimized structure of B3RuRh. The functional is SCAN.

```
B3RuRh
1.0
3.9216 0.0000 0.0000
0.0000 3.9216 0.0000
0.0000 0.0000 3.9216
B Ru Rh
3 1 1
Direct
0.0000 0.0000 0.5000
0.0000 0.5000 0.0000
0.5000 0.0000 0.0000
0.0000 0.0000 0.0000
0.5000 0.5000 0.5000
```

E: -17.05 eV/atom

=====

Entry 12:
This record from the Alexandria database describes a PBEsol-optimized structure of Cs2Na2Al. The functional is SCAN.

```
Cs2Na2Al
1.0
8.4509 0.0000 0.0000
0.0000 8.4509 0.0000
0.0000 0.0000 6.5462
Cs Na Al
4 4 2
Direct
0.1873 0.3127 0.0000
0.3127 0.8127 0.0000
0.6873 0.1873 0.0000
0.8127 0.6873 0.0000
0.1543 0.6543 0.5000
0.3457 0.1543 0.5000
0.6543 0.8457 0.5000
0.8457 0.3457 0.5000
0.0000 0.0000 0.5000
0.5000 0.5000 0.5000
```

E: -18.12 eV/atom

=====

- Number 6 is which compound?
  TaMnRu2